# 1
Computed, not measured: an optimized crystal structure of AcDy3In4 at the PBE-GGA level of DFT.

- ΔE_f (eV per atom) = -0.43

Unit cell a=5.619 b=7.426 c=10.962 alpha=90.00 beta=90.00 gamma=90.00
Atoms (fractional coordinates):
In  0.500  0.230  0.500
In  0.500  0.230  0.000
In  0.912  0.770  0.250
In  0.088  0.770  0.750
In  0.500  0.770  0.000
In  0.500  0.770  0.500
In  0.912  0.230  0.250
In  0.088  0.230  0.750
Dy  0.442  0.500  0.250
Dy  0.585  0.000  0.750
Dy  0.415  0.000  0.250
Dy  0.000  0.000  0.500
Dy  0.000  0.000  0.000
Dy  0.558  0.500  0.750
Ac  0.000  0.500  0.000
Ac  0.000  0.500  0.500


# 2
Computed, not measured: an optimized crystal structure of SiAg2Cl at the PBE-GGA level of DFT.

- ΔE to the lowest computed polymorph (meV/atom) = 243

Unit cell a=3.063 b=5.481 c=4.599 alpha=90.00 beta=90.00 gamma=90.00
Atoms (fractional coordinates):
Si  0.000  0.500  0.500
Cl  0.500  0.000  0.500
Ag  0.500  0.500  0.000
Ag  0.000  0.000  0.000


# 3
Computed, not measured: an optimized crystal structure of BaHfMgTi2 at the PBE-GGA level of DFT.

- ΔE_f (eV per atom) = 1.52

Unit cell a=5.100 b=5.529 c=5.100 alpha=90.00 beta=90.00 gamma=90.00
Atoms (fractional coordinates):
Ti  0.000  0.000  0.500
Ti  0.500  0.000  0.000
Mg  0.000  0.000  0.000
Ba  0.000  0.500  0.000
Hf  0.500  0.500  0.500


# 4
Computed, not measured: an optimized crystal structure of RbMgI2 at the PBE-GGA level of DFT.

- ΔE to the lowest computed polymorph (meV/atom) = 0

Unit cell a=7.306 b=7.306 c=9.971 alpha=68.51 beta=68.51 gamma=90.00
Atoms (fractional coordinates):
Rb  0.000  0.000  0.000
Rb  0.750  0.250  0.500
I  0.875  0.796  0.750
I  0.375  0.454  0.750
I  0.204  0.625  0.250
I  0.546  0.125  0.250
Mg  0.250  0.750  0.500
Mg  0.500  0.500  0.000


# 5
Computed, not measured: an optimized crystal structure of LiGdLuZn at the PBE-GGA level of DFT.

- ΔE_f (eV per atom) = -0.12

Unit cell a=5.078 b=5.078 c=5.078 alpha=60.00 beta=60.00 gamma=60.00
Atoms (fractional coordinates):
Lu  0.750  0.750  0.750
Zn  0.000  0.000  0.000
Gd  0.250  0.250  0.250
Li  0.500  0.500  0.500


# 6
Computed, not measured: an optimized crystal structure of Rb2LiScSe at the PBE-GGA level of DFT.

- total energy (eV/atom) = -2.77

Unit cell a=6.931 b=4.741 c=6.931 alpha=90.00 beta=90.00 gamma=90.00
Atoms (fractional coordinates):
Sc  0.500  0.500  0.500
Se  0.000  0.000  0.000
Rb  0.500  0.000  0.000
Rb  0.000  0.000  0.500
Li  0.000  0.500  0.000


# 7
Computed, not measured: an optimized crystal structure of TaSiOs at the PBE-GGA level of DFT.

- total energy (eV/atom) = -9.96

Unit cell a=4.226 b=4.226 c=2.936 alpha=90.00 beta=90.00 gamma=120.00
Atoms (fractional coordinates):
Ta  0.667  0.333  0.667
Si  0.333  0.667  0.167
Os  0.000  0.000  0.167


# 8
Computed, not measured: an optimized crystal structure of Ac4ScSe7 at the PBE-GGA level of DFT.

- total energy (eV/atom) = -5.85

Unit cell a=4.292 b=7.498 c=12.320 alpha=104.06 beta=90.00 gamma=106.63
Atoms (fractional coordinates):
Se  0.734  0.467  0.371
Se  0.041  0.082  0.747
Se  0.456  0.912  0.479
Se  0.968  0.936  0.217
Se  0.667  0.333  0.054
Se  0.346  0.692  0.955
Se  0.284  0.568  0.652
Sc  0.876  0.752  0.568
Ac  0.313  0.626  0.213
Ac  0.006  0.012  0.987
Ac  0.708  0.417  0.807
Ac  0.102  0.204  0.449